The following is a DFT calculation (GGA-PBEsol) of a geometry-optimized CaAsI2 structure.

- Calculated density: 5.365 g/cm3
- Space-group type: Fm-3m (225)
- ΔE_f (raw): -0.3604 eV per atom
- Distance to the lowest polymorph of the same formula: 0.016 eV/atom

Cell lengths 7.7004, 7.7004, 7.7004 Å; angles 90.00, 90.00, 90.00 degrees
With the nearest neighbours (Å) after each atom.
Fractional positions:
Ca (0.0000, 0.0000, 0.0000)  8 I 3.33
Ca (0.0000, 0.5000, 0.5000)  8 I 3.33
Ca (0.5000, 0.0000, 0.5000)  8 I 3.33
Ca (0.5000, 0.5000, 0.0000)  8 I 3.33
As (0.0000, 0.0000, 0.5000)  8 I 3.33
As (0.0000, 0.5000, 0.0000)  8 I 3.33
As (0.5000, 0.0000, 0.0000)  8 I 3.33
As (0.5000, 0.5000, 0.5000)  8 I 3.33
I (0.2500, 0.2500, 0.2500)  4 As 3.33, 4 Ca 3.33
I (0.2500, 0.2500, 0.7500)  4 As 3.33, 4 Ca 3.33
I (0.2500, 0.7500, 0.2500)  4 As 3.33, 4 Ca 3.33
I (0.2500, 0.7500, 0.7500)  4 As 3.33, 4 Ca 3.33
I (0.7500, 0.2500, 0.2500)  4 As 3.33, 4 Ca 3.33
I (0.7500, 0.2500, 0.7500)  4 As 3.33, 4 Ca 3.33
I (0.7500, 0.7500, 0.2500)  4 As 3.33, 4 Ca 3.33
I (0.7500, 0.7500, 0.7500)  4 As 3.33, 4 Ca 3.33



The following is a DFT calculation (GGA-PBEsol) of a geometry-optimized YZn20Ru2 structure.

- Calculated density: 7.779 g/cm3
- Uncorrected energy: -2.74 eV per atom
- Space-group type: Fd-3m (227)

Cell lengths 9.8837, 9.8837, 9.8837 Å; angles 60.00, 60.00, 60.00 degrees
With the nearest neighbours (Å) after each atom.
Fractional positions:
Y (0.1250, 0.1250, 0.1250)  16 Zn 3.03-3.08
Y (0.8750, 0.8750, 0.8750)  16 Zn 3.03-3.08
Zn (0.0000, 0.0000, 0.0000)  12 Zn 2.98, 2 Y 3.03
Zn (0.0000, 0.0000, 0.5000)  12 Zn 2.98, 2 Y 3.03
Zn (0.0000, 0.5000, 0.0000)  12 Zn 2.98, 2 Y 3.03
Zn (0.0564, 0.3249, 0.3249)  8 Zn 2.60-2.83, 1 Ru 2.71
Zn (0.0564, 0.3249, 0.7939)  8 Zn 2.60-2.83, 1 Ru 2.71
Zn (0.0564, 0.7939, 0.3249)  8 Zn 2.60-2.83, 1 Ru 2.71
Zn (0.2061, 0.6751, 0.6751)  8 Zn 2.60-2.83, 1 Ru 2.71
Zn (0.2061, 0.6751, 0.9436)  8 Zn 2.60-2.83, 1 Ru 2.71
Zn (0.2061, 0.9436, 0.6751)  8 Zn 2.60-2.83, 1 Ru 2.71
Zn (0.2382, 0.2382, 0.5118)  2 Ru 2.48, 10 Zn 2.63-2.75
Zn (0.2382, 0.5118, 0.2382)  2 Ru 2.48, 10 Zn 2.63-2.75
Zn (0.2382, 0.5118, 0.5118)  2 Ru 2.48, 10 Zn 2.63-2.75
Zn (0.3249, 0.0564, 0.3249)  8 Zn 2.60-2.83, 1 Ru 2.71
Zn (0.3249, 0.0564, 0.7939)  8 Zn 2.60-2.83, 1 Ru 2.71
Zn (0.3249, 0.3249, 0.0564)  8 Zn 2.60-2.83, 1 Ru 2.71
Zn (0.3249, 0.3249, 0.7939)  8 Zn 2.60-2.83, 1 Ru 2.71
Zn (0.3249, 0.7939, 0.0564)  8 Zn 2.60-2.83, 1 Ru 2.71
Zn (0.3249, 0.7939, 0.3249)  8 Zn 2.60-2.83, 1 Ru 2.71
Zn (0.4882, 0.4882, 0.7618)  2 Ru 2.48, 10 Zn 2.63-2.75
Zn (0.4882, 0.7618, 0.4882)  2 Ru 2.48, 10 Zn 2.63-2.75
Zn (0.4882, 0.7618, 0.7618)  2 Ru 2.48, 10 Zn 2.63-2.75
Zn (0.5000, 0.0000, 0.0000)  12 Zn 2.98, 2 Y 3.03
Zn (0.5118, 0.2382, 0.2382)  2 Ru 2.48, 10 Zn 2.63-2.75
Zn (0.5118, 0.2382, 0.5118)  2 Ru 2.48, 10 Zn 2.63-2.75
Zn (0.5118, 0.5118, 0.2382)  2 Ru 2.48, 10 Zn 2.63-2.75
Zn (0.6751, 0.2061, 0.6751)  8 Zn 2.60-2.83, 1 Ru 2.71
Zn (0.6751, 0.2061, 0.9436)  8 Zn 2.60-2.83, 1 Ru 2.71
Zn (0.6751, 0.6751, 0.2061)  8 Zn 2.60-2.83, 1 Ru 2.71
Zn (0.6751, 0.6751, 0.9436)  8 Zn 2.60-2.83, 1 Ru 2.71
Zn (0.6751, 0.9436, 0.2061)  8 Zn 2.60-2.83, 1 Ru 2.71
Zn (0.6751, 0.9436, 0.6751)  8 Zn 2.60-2.83, 1 Ru 2.71
Zn (0.7618, 0.4882, 0.4882)  2 Ru 2.48, 10 Zn 2.63-2.75
Zn (0.7618, 0.4882, 0.7618)  2 Ru 2.48, 10 Zn 2.63-2.75
Zn (0.7618, 0.7618, 0.4882)  2 Ru 2.48, 10 Zn 2.63-2.75
Zn (0.7939, 0.0564, 0.3249)  8 Zn 2.60-2.83, 1 Ru 2.71
Zn (0.7939, 0.3249, 0.0564)  8 Zn 2.60-2.83, 1 Ru 2.71
Zn (0.7939, 0.3249, 0.3249)  8 Zn 2.60-2.83, 1 Ru 2.71
Zn (0.9436, 0.2061, 0.6751)  8 Zn 2.60-2.83, 1 Ru 2.71
Zn (0.9436, 0.6751, 0.2061)  8 Zn 2.60-2.83, 1 Ru 2.71
Zn (0.9436, 0.6751, 0.6751)  8 Zn 2.60-2.83, 1 Ru 2.71
Ru (0.0000, 0.5000, 0.5000)  12 Zn 2.48-2.71
Ru (0.5000, 0.0000, 0.5000)  12 Zn 2.48-2.71
Ru (0.5000, 0.5000, 0.0000)  12 Zn 2.48-2.71
Ru (0.5000, 0.5000, 0.5000)  12 Zn 2.48-2.71



The following is a DFT calculation (GGA-PBEsol) of a geometry-optimized ZrTlCrP2 structure.

- Calculated density: 7.181 g/cm3
- Uncorrected energy: -6.54 eV per atom
- Space-group type: P4/mmm (123)

Cell lengths 4.3689, 4.3689, 4.9616 Å; angles 90.00, 90.00, 90.00 degrees
With the nearest neighbours (Å) after each atom.
Fractional positions:
Zr (0.0000, 0.0000, 0.0000)  2 Cr 2.48
Tl (0.5000, 0.5000, 0.0000)  4 Zr 3.09, 8 P 3.31
Cr (0.0000, 0.0000, 0.5000)  4 P 2.18
P (0.0000, 0.5000, 0.5000)  2 Cr 2.18
P (0.5000, 0.0000, 0.5000)  2 Cr 2.18



The following is a DFT calculation (GGA-PBEsol) of a geometry-optimized BeCuS2 structure.

- Calculated density: 3.672 g/cm3
- Space-group type: I-42d (122)
- ΔE_f (raw): -0.5801 eV per atom

Cell lengths 5.0213, 5.0213, 9.8056 Å; angles 90.00, 90.00, 90.00 degrees
With the nearest neighbours (Å) after each atom.
Fractional positions:
Be (0.0000, 0.0000, 0.0000)  4 S 2.09
Be (0.0000, 0.5000, 0.2500)  4 S 2.09
Be (0.5000, 0.0000, 0.7500)  4 S 2.09
Be (0.5000, 0.5000, 0.5000)  4 S 2.09
Cu (0.0000, 0.0000, 0.5000)  4 S 2.23
Cu (0.0000, 0.5000, 0.7500)  4 S 2.23
Cu (0.5000, 0.0000, 0.2500)  4 S 2.23
Cu (0.5000, 0.5000, 0.0000)  4 S 2.23
S (0.2259, 0.2500, 0.1250)  2 Be 2.09, 2 Cu 2.23
S (0.2500, 0.7259, 0.3750)  2 Be 2.09, 2 Cu 2.23
S (0.2500, 0.7741, 0.8750)  2 Be 2.09, 2 Cu 2.23
S (0.2741, 0.2500, 0.6250)  2 Be 2.09, 2 Cu 2.23
S (0.7259, 0.7500, 0.6250)  2 Be 2.09, 2 Cu 2.23
S (0.7500, 0.2259, 0.8750)  2 Be 2.09, 2 Cu 2.23
S (0.7500, 0.2741, 0.3750)  2 Be 2.09, 2 Cu 2.23
S (0.7741, 0.7500, 0.1250)  2 Be 2.09, 2 Cu 2.23



The following is a DFT calculation (GGA-PBEsol) of a geometry-optimized CrCo2Rh structure.

- Calculated density: 9.729 g/cm3
- Uncorrected energy: -8.22 eV per atom
- Space-group type: F-43m (216)

Cell lengths 5.7105, 5.7105, 5.7105 Å; angles 90.00, 90.00, 90.00 degrees
With the nearest neighbours (Å) after each atom.
Fractional positions:
Cr (0.0000, 0.0000, 0.0000)  4 Co 2.47, 4 Rh 2.47
Cr (0.0000, 0.5000, 0.5000)  4 Co 2.47, 4 Rh 2.47
Cr (0.5000, 0.0000, 0.5000)  4 Co 2.47, 4 Rh 2.47
Cr (0.5000, 0.5000, 0.0000)  4 Co 2.47, 4 Rh 2.47
Co (0.0000, 0.0000, 0.5000)  4 Co 2.47, 4 Rh 2.47
Co (0.0000, 0.5000, 0.0000)  4 Co 2.47, 4 Rh 2.47
Co (0.2500, 0.2500, 0.2500)  4 Cr 2.47, 4 Co 2.47
Co (0.2500, 0.7500, 0.7500)  4 Cr 2.47, 4 Co 2.47
Co (0.5000, 0.0000, 0.0000)  4 Co 2.47, 4 Rh 2.47
Co (0.5000, 0.5000, 0.5000)  4 Co 2.47, 4 Rh 2.47
Co (0.7500, 0.2500, 0.7500)  4 Cr 2.47, 4 Co 2.47
Co (0.7500, 0.7500, 0.2500)  4 Cr 2.47, 4 Co 2.47
Rh (0.2500, 0.2500, 0.7500)  4 Cr 2.47, 4 Co 2.47
Rh (0.2500, 0.7500, 0.2500)  4 Cr 2.47, 4 Co 2.47
Rh (0.7500, 0.2500, 0.2500)  4 Cr 2.47, 4 Co 2.47
Rh (0.7500, 0.7500, 0.7500)  4 Cr 2.47, 4 Co 2.47



The following is a DFT calculation (GGA-PBEsol) of a geometry-optimized NaLi2La structure.

- Calculated density: 2.588 g/cm3
- Uncorrected energy: -2.40 eV per atom
- Space-group type: Fm-3m (225)

Cell lengths 7.6698, 7.6698, 7.6698 Å; angles 90.00, 90.00, 90.00 degrees
With the nearest neighbours (Å) after each atom.
Fractional positions:
Na (0.0000, 0.0000, 0.0000)  8 Li 3.32
Na (0.0000, 0.5000, 0.5000)  8 Li 3.32
Na (0.5000, 0.0000, 0.5000)  8 Li 3.32
Na (0.5000, 0.5000, 0.0000)  8 Li 3.32
Li (0.2500, 0.2500, 0.2500)  4 La 3.32, 4 Na 3.32
Li (0.2500, 0.2500, 0.7500)  4 La 3.32, 4 Na 3.32
Li (0.2500, 0.7500, 0.2500)  4 La 3.32, 4 Na 3.32
Li (0.2500, 0.7500, 0.7500)  4 La 3.32, 4 Na 3.32
Li (0.7500, 0.2500, 0.2500)  4 La 3.32, 4 Na 3.32
Li (0.7500, 0.2500, 0.7500)  4 La 3.32, 4 Na 3.32
Li (0.7500, 0.7500, 0.2500)  4 La 3.32, 4 Na 3.32
Li (0.7500, 0.7500, 0.7500)  4 Na 3.32, 4 La 3.32
La (0.0000, 0.0000, 0.5000)  8 Li 3.32
La (0.0000, 0.5000, 0.0000)  8 Li 3.32
La (0.5000, 0.0000, 0.0000)  8 Li 3.32
La (0.5000, 0.5000, 0.5000)  8 Li 3.32



- What is the formula in the fifth record?
  CrCo2Rh



What did the third record say?
The following is a DFT calculation (GGA-PBEsol) of a geometry-optimized ZrTlCrP2 structure.

- Calculated density: 7.181 g/cm3
- Uncorrected energy: -6.54 eV per atom
- Space-group type: P4/mmm (123)

Cell lengths 4.3689, 4.3689, 4.9616 Å; angles 90.00, 90.00, 90.00 degrees
With the nearest neighbours (Å) after each atom.
Fractional positions:
Zr (0.0000, 0.0000, 0.0000)  2 Cr 2.48
Tl (0.5000, 0.5000, 0.0000)  4 Zr 3.09, 8 P 3.31
Cr (0.0000, 0.0000, 0.5000)  4 P 2.18
P (0.0000, 0.5000, 0.5000)  2 Cr 2.18
P (0.5000, 0.0000, 0.5000)  2 Cr 2.18